1.
Rb3Y3RhO8 (PBE-GGA, optimized geometry); total magnetic moment = 1.06 μB/cell; formation energy from raw total energies = -2.28 eV/atom; symmetry = R-3m (166)
1.0
6.812 0.000 0.000
-3.406 5.900 -0.022
0.000 -3.910 6.599
Rb O Rh Y
3 8 1 3
Cartesian
0.000 0.000 0.000
1.703 2.950 -0.011
-1.703 2.950 -0.011
0.000 1.974 2.148
5.242 -1.052 2.205
-1.836 3.042 4.371
1.836 3.042 4.371
3.406 2.127 2.193
1.571 -1.052 2.205
3.406 0.016 4.429
0.000 -0.137 4.383
0.000 -1.955 3.299
-1.703 0.995 3.288
1.703 0.995 3.288
3.406 -1.955 3.299

=====

2.
Rb2ZnRhO4 (PBE-GGA, optimized geometry); total magnetic moment = 1.71 μB/cell; formation energy from raw total energies = -0.95 eV/atom; symmetry = Fddd (70)
1.0
-4.971 2.048 -1.790
-4.575 -4.745 -1.691
-5.855 0.963 8.395
Rh Zn O Rb
2 2 8 4
Cartesian
-6.458 -1.379 2.905
-2.485 1.024 -0.895
0.000 0.000 0.000
-8.943 -0.355 2.010
-4.343 0.505 -0.719
-7.769 -1.888 1.573
-7.219 0.476 7.044
-13.491 -1.236 4.758
-5.750 -3.211 -1.254
-10.854 -0.852 2.167
-7.580 0.133 3.361
-4.600 -0.859 2.729
-10.143 -0.376 5.316
-4.656 0.985 5.089
-7.744 -0.333 -1.296
-6.170 2.026 1.517

=====

3.
RbRu2O (PBE-GGA, optimized geometry); total magnetic moment = 1.42 μB/cell; formation energy from raw total energies = 0.47 eV/atom; symmetry = I4_1/amd (141)
1.0
6.312 0.000 0.000
0.000 6.312 0.000
3.156 3.156 4.449
O Ru Rb
2 4 2
Cartesian
3.156 6.312 2.225
3.156 3.156 0.000
4.734 6.313 3.337
3.155 1.578 1.112
3.157 4.734 1.112
7.890 6.311 3.337
0.000 0.000 0.000
6.312 3.156 2.225

=====

4.
Rb5RuO6 (PBE-GGA, optimized geometry); total magnetic moment = 1.05 μB/cell; formation energy from raw total energies = -1.17 eV/atom; symmetry = C2/m (12)
1.0
6.415 0.022 1.111
1.776 5.534 3.332
0.027 0.017 6.693
O Rb Ru
6 5 1
Cartesian
1.481 0.984 0.792
2.447 3.889 4.131
5.335 0.363 2.696
5.771 1.684 7.005
6.710 4.573 3.651
2.883 5.210 8.440
4.707 4.661 5.504
0.599 1.845 3.351
1.204 3.706 6.674
4.096 2.778 2.222
3.511 0.912 5.632
0.000 0.000 0.000

=====

5.
Rb3RuO6 (PBE-GGA, optimized geometry); total magnetic moment = 1.04 μB/cell; formation energy from raw total energies = -0.95 eV/atom; distance to the lowest polymorph of the same formula = 8.4 meV per atom; symmetry = Fm-3m (225)
1.0
6.537 0.000 0.000
3.269 5.661 0.000
3.269 1.887 5.337
O Ru Rb
6 1 3
Cartesian
4.591 4.897 1.080
8.483 4.897 1.080
4.591 2.651 4.257
8.483 2.651 4.257
6.537 1.528 1.080
6.537 6.021 4.257
0.000 0.000 0.000
6.537 3.774 2.669
3.269 1.887 1.334
9.806 5.661 4.003

=====

6.
Rb2RuO5 (PBE-GGA, optimized geometry); total magnetic moment = 0.00 μB/cell; formation energy from raw total energies = -1.09 eV/atom; symmetry = I4mm (107)
1.0
6.094 0.229 0.327
-2.801 5.417 -0.327
-2.801 -2.150 4.983
O Rb Ru
5 2 1
Cartesian
-0.637 2.713 3.866
-2.675 -0.781 3.866
-2.675 3.901 0.581
-1.432 0.835 1.190
1.381 0.637 0.907
0.191 -0.112 3.864
0.191 3.672 1.210
-0.206 0.120 0.171

=====

7.
Rb3RuO3 (PBE-GGA, optimized geometry); total magnetic moment = 2.02 μB/cell; formation energy from raw total energies = -1.15 eV/atom; symmetry = Cmcm (63)
1.0
-2.632 -4.341 2.991
-2.253 -3.113 -6.500
6.676 -3.400 0.938
Ru Rb O
2 6 6
Cartesian
2.032 -6.570 0.957
-0.241 -4.284 -3.527
1.687 -3.054 -0.046
-1.688 -5.159 -0.267
5.049 -4.456 0.878
0.103 -7.801 -2.525
-3.259 -6.399 -3.448
3.479 -5.696 -2.303
2.235 -7.684 -0.480
0.700 -5.420 1.454
-1.701 -4.237 -4.744
1.091 -5.434 -4.025
3.492 -6.618 2.173
-0.444 -3.171 -2.091

=====

8.
RbRuO3 (PBE-GGA, optimized geometry); total magnetic moment = 0.26 μB/cell; formation energy from raw total energies = -1.01 eV/atom; symmetry = Pm-3m (221)
1.0
-2.275 -3.146 -0.701
0.619 -1.269 3.684
-3.163 2.014 1.226
O Ru Rb
3 1 1
Cartesian
-1.138 -1.573 -0.351
-1.582 1.007 0.613
0.310 -0.635 1.842
0.000 0.000 0.000
-2.410 -1.201 2.104

=====

> Look up the total magnetic moment of the eighth one.

0.26 μB/cell